GGA-PBE Mg6IrPd5, relaxed; SG = No. 65
1.0
4.208 -0.025 1.402
0.035 6.484 0.012
0.008 -0.013 6.992
Mg Pd Ir
6 5 1
Direct
0.500 0.755 0.000 Mg
0.835 0.753 0.330 Mg
0.165 0.753 0.670 Mg
0.835 0.247 0.330 Mg
0.500 0.245 0.000 Mg
0.165 0.247 0.670 Mg
0.333 0.000 0.334 Pd
0.000 0.500 0.000 Pd
0.331 0.500 0.337 Pd
0.669 0.500 0.663 Pd
0.667 0.000 0.666 Pd
0.000 0.000 0.000 Ir

***

GGA-PBE Mg6IrPd2, relaxed; distance to the lowest polymorph of the same formula = 0.00 kcal/mol of atoms; SG = No. 164
1.0
4.591 0.000 0.000
-2.295 3.975 0.005
0.000 -0.012 8.689
Mg Pd Ir
6 2 1
Direct
0.333 0.667 0.416 Mg
0.000 0.000 0.797 Mg
0.667 0.333 0.584 Mg
0.667 0.333 0.936 Mg
0.333 0.667 0.064 Mg
0.000 0.000 0.203 Mg
0.667 0.333 0.256 Pd
0.333 0.667 0.744 Pd
0.000 0.000 0.500 Ir

***

GGA-PBE Mg5IrPd, relaxed; SG = No. 15
1.0
6.822 -0.010 -0.094
2.155 6.473 -0.094
3.107 2.237 8.237
Mg Ir Pd
10 2 2
Direct
0.703 0.332 0.545 Mg
0.216 0.280 0.857 Mg
0.668 0.297 0.955 Mg
0.784 0.720 0.143 Mg
0.882 0.118 0.250 Mg
0.332 0.703 0.045 Mg
0.280 0.216 0.357 Mg
0.720 0.784 0.643 Mg
0.118 0.882 0.750 Mg
0.297 0.668 0.455 Mg
0.000 0.000 0.500 Ir
0.000 0.000 0.000 Ir
0.444 0.556 0.750 Pd
0.556 0.444 0.250 Pd

***

GGA-PBE MgIr2Pd2, relaxed; SG = No. 127
1.0
-2.188 0.999 -7.204
4.759 -5.492 -2.207
-2.076 -1.944 0.361
Pd Ir Mg
4 4 2
Direct
0.179 0.679 0.500 Pd
0.679 0.821 0.500 Pd
0.821 0.321 0.500 Pd
0.321 0.179 0.500 Pd
0.380 0.880 0.000 Ir
0.120 0.380 0.000 Ir
0.620 0.120 0.000 Ir
0.880 0.620 0.000 Ir
0.000 0.000 0.000 Mg
0.500 0.500 0.000 Mg

***

GGA-PBE MgIr2Pd, relaxed; SG = No. 122
1.0
3.712 0.000 0.000
0.000 3.712 0.000
1.856 1.856 9.570
Ir Mg Pd
4 2 2
Direct
0.124 0.625 0.250 Ir
0.626 0.125 0.250 Ir
0.875 0.876 0.750 Ir
0.375 0.374 0.750 Ir
0.250 0.750 0.500 Mg
0.500 0.500 0.000 Mg
0.750 0.250 0.500 Pd
0.000 0.000 0.000 Pd

***

GGA-PBE Mg3IrPd2, relaxed; distance to the lowest polymorph of the same formula = 0.62 kcal/mol of atoms; SG = No. 123
1.0
-1.637 1.493 -2.078
1.501 -1.437 -2.215
-7.038 -7.544 0.124
Ir Pd Mg
1 2 3
Direct
0.500 0.500 0.500 Ir
0.500 0.500 0.167 Pd
0.500 0.500 0.833 Pd
0.000 0.000 0.000 Mg
0.000 0.000 0.659 Mg
0.000 0.000 0.341 Mg

***

Calculated formation energy / eV per atom: -0.676; -0.410; -0.044; 0.123; 0.206; -0.584